Record 1
The following is a DFT calculation (PBE-GGA) of a relaxed structure of Pr2Ga3HgPt4. Values from VASP.

Geometry as Quantum ESPRESSO input:
```
&SYSTEM
  ibrav = 0, nat = 10, ntyp = 4
/
ATOMIC_SPECIES
Pr 140.91 Pr.upf
Ga 69.72 Ga.upf
Hg 200.59 Hg.upf
Pt 195.08 Pt.upf
CELL_PARAMETERS angstrom
4.164 0.000 0.000
0.000 4.164 0.000
0.000 0.000 11.696
ATOMIC_POSITIONS angstrom
Pr 0.000 2.082 2.897
Pr 2.082 0.000 8.800
Ga 0.000 2.082 10.228
Ga 2.082 0.000 1.469
Ga 2.082 2.082 5.848
Hg 0.000 0.000 5.848
Pt 0.000 0.000 0.000
Pt 0.000 2.082 7.751
Pt 2.082 0.000 3.945
Pt 2.082 2.082 0.000
```

Record 2
The following is a DFT calculation (PBE-GGA) of a relaxed structure of PrPuGaHg. Values from VASP.

Geometry as Quantum ESPRESSO input:
```
&SYSTEM
  ibrav = 0, nat = 4, ntyp = 4
/
ATOMIC_SPECIES
Pr 140.91 Pr.upf
Pu 244.00 Pu.upf
Ga 69.72 Ga.upf
Hg 200.59 Hg.upf
CELL_PARAMETERS angstrom
0.000 3.755 3.755
3.755 0.000 3.755
3.755 3.755 0.000
ATOMIC_POSITIONS angstrom
Pr 0.000 0.000 0.000
Pu 3.755 3.755 3.755
Ga 5.633 5.633 5.633
Hg 1.878 1.878 1.878
```

Record 3
The following is a DFT calculation (PBE-GGA) of a relaxed structure of Pr2Ga3HgRh4. Values from VASP.

Geometry as Quantum ESPRESSO input:
```
&SYSTEM
  ibrav = 0, nat = 10, ntyp = 4
/
ATOMIC_SPECIES
Pr 140.91 Pr.upf
Ga 69.72 Ga.upf
Hg 200.59 Hg.upf
Rh 102.91 Rh.upf
CELL_PARAMETERS angstrom
4.311 0.000 0.000
0.000 4.311 0.000
0.000 0.000 10.574
ATOMIC_POSITIONS angstrom
Pr 0.000 2.156 2.513
Pr 2.156 0.000 8.061
Ga 0.000 2.156 9.331
Ga 2.156 0.000 1.243
Ga 2.156 2.156 5.287
Hg 0.000 0.000 5.287
Rh 0.000 0.000 0.000
Rh 0.000 2.156 6.878
Rh 2.156 0.000 3.696
Rh 2.156 2.156 0.000
```

Record 4
The following is a DFT calculation (PBE-GGA) of a relaxed structure of Pr3GaHg2Rh3. Values from VASP.

Geometry as Quantum ESPRESSO input:
```
&SYSTEM
  ibrav = 0, nat = 9, ntyp = 4
/
ATOMIC_SPECIES
Pr 140.91 Pr.upf
Ga 69.72 Ga.upf
Hg 200.59 Hg.upf
Rh 102.91 Rh.upf
CELL_PARAMETERS angstrom
7.823 0.000 0.000
-3.911 6.775 0.000
0.000 0.000 3.799
ATOMIC_POSITIONS angstrom
Pr -2.446 4.236 0.000
Pr 1.465 2.538 0.000
Pr 4.892 0.000 0.000
Ga 0.000 0.000 0.000
Hg 0.000 4.516 1.899
Hg 3.911 2.258 1.899
Rh -0.879 1.523 1.899
Rh 1.759 0.000 1.899
Rh 3.032 5.252 1.899
```

Record 5
The following is a DFT calculation (PBE-GGA) of a relaxed structure of Pr2Ga2HgRh5. Values from VASP.

Geometry as Quantum ESPRESSO input:
```
&SYSTEM
  ibrav = 0, nat = 20, ntyp = 4
/
ATOMIC_SPECIES
Pr 140.91 Pr.upf
Ga 69.72 Ga.upf
Hg 200.59 Hg.upf
Rh 102.91 Rh.upf
CELL_PARAMETERS angstrom
10.006 0.000 0.000
0.000 10.006 0.000
0.000 0.000 3.663
ATOMIC_POSITIONS angstrom
Pr 1.769 3.233 0.000
Pr 3.233 8.236 0.000
Pr 6.772 1.769 0.000
Pr 8.236 6.772 0.000
Ga 1.213 6.216 0.000
Ga 3.790 1.213 0.000
Ga 6.216 8.793 0.000
Ga 8.793 3.790 0.000
Hg 0.000 0.000 0.000
Hg 5.003 5.003 0.000
Rh 0.000 5.003 1.832
Rh 0.671 7.879 1.832
Rh 2.127 0.671 1.832
Rh 2.876 5.674 1.832
Rh 4.332 2.876 1.832
Rh 5.003 0.000 1.832
Rh 5.674 7.130 1.832
Rh 7.130 4.332 1.832
Rh 7.879 9.335 1.832
Rh 9.335 2.127 1.832
```

Record 6
The following is a DFT calculation (PBE-GGA) of a relaxed structure of PrSm2Ga2Hg2. Values from VASP.

Geometry as Quantum ESPRESSO input:
```
&SYSTEM
  ibrav = 0, nat = 7, ntyp = 4
/
ATOMIC_SPECIES
Pr 140.91 Pr.upf
Sm 150.36 Sm.upf
Ga 69.72 Ga.upf
Hg 200.59 Hg.upf
CELL_PARAMETERS angstrom
2.344 1.353 9.633
-2.344 1.353 9.633
0.000 -2.707 9.633
ATOMIC_POSITIONS angstrom
Pr 0.000 0.000 0.000
Sm 0.000 0.000 3.736
Sm 0.000 0.000 25.164
Ga 0.000 0.000 7.269
Ga 0.000 0.000 21.631
Hg 0.000 0.000 11.505
Hg 0.000 0.000 17.395
```

Record 7
The following is a DFT calculation (PBE-GGA) of a relaxed structure of Pr3Sm3GaHg2. Values from VASP.

Geometry as Quantum ESPRESSO input:
```
&SYSTEM
  ibrav = 0, nat = 9, ntyp = 4
/
ATOMIC_SPECIES
Pr 140.91 Pr.upf
Sm 150.36 Sm.upf
Ga 69.72 Ga.upf
Hg 200.59 Hg.upf
CELL_PARAMETERS angstrom
8.934 0.000 0.000
-4.467 7.737 0.000
0.000 0.000 3.873
ATOMIC_POSITIONS angstrom
Pr -3.279 5.680 0.000
Pr 1.187 2.057 0.000
Pr 6.559 0.000 0.000
Sm -1.765 3.057 1.936
Sm 3.530 0.000 1.936
Sm 2.702 4.680 1.936
Ga 0.000 0.000 1.936
Hg 0.000 5.158 0.000
Hg 4.467 2.579 0.000
```

Record 8
! PrGaSnHg | Alexandria | PBE-GGA | relaxed; values from VASP
&SYSTEM
  ibrav = 0, nat = 4, ntyp = 4
/
ATOMIC_SPECIES
Pr 140.91 Pr.upf
Ga 69.72 Ga.upf
Sn 118.71 Sn.upf
Hg 200.59 Hg.upf
CELL_PARAMETERS angstrom
4.538 0.000 0.000
0.000 4.650 0.000
0.000 0.000 4.718
ATOMIC_POSITIONS angstrom
Pr 0.000 0.000 0.000
Ga 2.269 2.325 0.000
Sn 2.269 0.000 2.359
Hg 0.000 2.325 2.359
! distance to the lowest polymorph of the same formula	0	meV/atom

Record 9
! PrGaSnHg | Alexandria | PBE-GGA | relaxed; values from VASP
&SYSTEM
  ibrav = 0, nat = 4, ntyp = 4
/
ATOMIC_SPECIES
Pr 140.91 Pr.upf
Ga 69.72 Ga.upf
Sn 118.71 Sn.upf
Hg 200.59 Hg.upf
CELL_PARAMETERS angstrom
0.000 3.708 3.708
3.708 0.000 3.708
3.708 3.708 0.000
ATOMIC_POSITIONS angstrom
Pr 0.000 0.000 0.000
Ga 1.854 1.854 1.854
Sn 3.708 3.708 3.708
Hg 5.562 5.562 5.562
! distance to the lowest polymorph of the same formula	156	meV/atom

Record 10
The following is a DFT calculation (PBE-GGA) of a relaxed structure of Tb2PrGa2Hg2. Values from VASP.

Geometry as Quantum ESPRESSO input:
```
&SYSTEM
  ibrav = 0, nat = 7, ntyp = 4
/
ATOMIC_SPECIES
Tb 158.93 Tb.upf
Pr 140.91 Pr.upf
Ga 69.72 Ga.upf
Hg 200.59 Hg.upf
CELL_PARAMETERS angstrom
2.337 1.349 9.480
-2.337 1.349 9.480
0.000 -2.699 9.480
ATOMIC_POSITIONS angstrom
Tb 0.000 0.000 3.683
Tb 0.000 0.000 24.757
Pr 0.000 0.000 0.000
Ga 0.000 0.000 7.075
Ga 0.000 0.000 21.365
Hg 0.000 0.000 11.363
Hg 0.000 0.000 17.078
```

no.,raw total energy (eV/atom)
1,-5.1475
2,-5.9120
3,-5.4911
4,-4.9706
5,-5.8639
6,-3.3709
7,-3.8699
8,-3.5065
9,-3.3502
10,-3.3439